Version 1
YHO after structural relaxation. Source: Alexandria via LeMat-Bulk, functional GGA-PBE.

Computed properties:
Calculated volume, Å³/f.u.: 32.65

POSCAR file:
```
YHO
1.0
5.7711 0.0000 0.0000
0.0000 3.3337 0.0000
0.0000 0.0000 6.7888
Y H O
4 4 4
Direct
0.2415 0.2500 0.1281
0.2585 0.7500 0.6281
0.7415 0.2500 0.3719
0.7585 0.7500 0.8719
0.1211 0.2500 0.4428
0.3789 0.7500 0.9428
0.6211 0.2500 0.0572
0.8789 0.7500 0.5572
0.0492 0.2500 0.8244
0.4508 0.7500 0.3244
0.5492 0.2500 0.6756
0.9508 0.7500 0.1756
```

Version 2
YHO after structural relaxation. Source: Alexandria via LeMat-Bulk, functional GGA-PBE.

Computed properties:
Calculated volume, Å³/f.u.: 56.40

POSCAR file:
```
YHO
1.0
3.5817 0.0000 0.0000
-1.7909 3.1019 0.0000
0.0000 0.0000 5.0765
Y H O
1 1 1
Direct
0.0000 0.0000 0.0000
0.6667 0.3333 0.7703
0.3333 0.6667 0.1364
```

Version 3
YHO after structural relaxation. Source: Alexandria via LeMat-Bulk, functional GGA-PBE.

Computed properties:
Calculated volume, Å³/f.u.: 37.55

POSCAR file:
```
YHO
1.0
5.3155 0.0000 0.0000
0.0000 5.3155 0.0000
0.0000 0.0000 5.3155
Y H O
4 4 4
Direct
0.0000 0.0000 0.0000
0.0000 0.5000 0.5000
0.5000 0.0000 0.5000
0.5000 0.5000 0.0000
0.2500 0.2500 0.2500
0.2500 0.7500 0.7500
0.7500 0.2500 0.7500
0.7500 0.7500 0.2500
0.2500 0.2500 0.7500
0.2500 0.7500 0.2500
0.7500 0.2500 0.2500
0.7500 0.7500 0.7500
```

Which of them is least stable? Easy: version 2.

Version 1
Y2HO after structural relaxation. Source: Alexandria via LeMat-Bulk, functional GGA-PBE.

Computed properties:
Calculated volume, Å³/f.u.: 74.61

POSCAR file:
```
Y2HO
1.0
5.3827 0.0000 0.0000
0.0000 5.3827 0.0000
0.0000 0.0000 10.3007
Y H O
8 4 4
Direct
0.2360 0.2500 0.1250
0.2500 0.7360 0.3750
0.2500 0.7640 0.8750
0.2640 0.2500 0.6250
0.7360 0.7500 0.6250
0.7500 0.2360 0.8750
0.7500 0.2640 0.3750
0.7640 0.7500 0.1250
0.0000 0.0000 0.5000
0.0000 0.5000 0.7500
0.5000 0.0000 0.2500
0.5000 0.5000 0.0000
0.0000 0.0000 0.0000
0.0000 0.5000 0.2500
0.5000 0.0000 0.7500
0.5000 0.5000 0.5000
```

Version 2
Y2HO after structural relaxation. Source: Alexandria via LeMat-Bulk, functional GGA-PBE.

Computed properties:
Calculated volume, Å³/f.u.: 60.82

POSCAR file:
```
Y2HO
1.0
3.4404 0.0000 0.0000
-1.7202 2.9795 0.0000
0.0000 0.0000 17.7988
Y H O
6 3 3
Direct
0.0000 0.0000 0.0000
0.0000 0.0000 0.1741
0.3333 0.6667 0.6667
0.3333 0.6667 0.8408
0.6667 0.3333 0.3333
0.6667 0.3333 0.5075
0.0000 0.0000 0.5800
0.3333 0.6667 0.2467
0.6667 0.3333 0.9133
0.0000 0.0000 0.7527
0.3333 0.6667 0.4194
0.6667 0.3333 0.0861
```

Which of them is least stable? Easy: version 2.

Version 1
Y2HO after structural relaxation. Source: Alexandria via LeMat-Bulk, functional GGA-PBE.

Computed properties:
Calculated volume, Å³/f.u.: 56.85

POSCAR file:
```
Y2HO
1.0
6.1037 0.0000 0.0000
0.0000 6.1037 0.0000
0.0000 0.0000 6.1037
Y H O
8 4 4
Direct
0.2500 0.2500 0.2500
0.2500 0.2500 0.7500
0.2500 0.7500 0.2500
0.2500 0.7500 0.7500
0.7500 0.2500 0.2500
0.7500 0.2500 0.7500
0.7500 0.7500 0.2500
0.7500 0.7500 0.7500
0.0000 0.0000 0.0000
0.0000 0.5000 0.5000
0.5000 0.0000 0.5000
0.5000 0.5000 0.0000
0.0000 0.0000 0.5000
0.0000 0.5000 0.0000
0.5000 0.0000 0.0000
0.5000 0.5000 0.5000
```

Version 2
Y2HO after structural relaxation. Source: Alexandria via LeMat-Bulk, functional GGA-PBE.

Computed properties:
Calculated volume, Å³/f.u.: 59.41

POSCAR file:
```
Y2HO
1.0
3.4819 0.0000 0.0000
-1.7410 3.0154 0.0000
0.0000 0.0000 16.9748
Y H O
6 3 3
Direct
0.0000 0.0000 0.2462
0.0000 0.0000 0.7538
0.3333 0.6667 0.4204
0.3333 0.6667 0.9129
0.6667 0.3333 0.0871
0.6667 0.3333 0.5796
0.0000 0.0000 0.0000
0.3333 0.6667 0.6667
0.6667 0.3333 0.3333
0.0000 0.0000 0.5000
0.3333 0.6667 0.1667
0.6667 0.3333 0.8333
```

Which of them is least stable? Easy: version 1.

Version 1
ZnHO after structural relaxation. Source: Alexandria via LeMat-Bulk, functional GGA-PBE.

Computed properties:
Calculated volume, Å³/f.u.: 36.69

POSCAR file:
```
ZnHO
1.0
2.8473 0.0000 0.0000
0.0000 2.8473 0.0000
0.0000 0.0000 9.0505
Zn H O
2 2 2
Direct
0.0000 0.0000 0.0000
0.5000 0.5000 0.5000
0.0000 0.0000 0.2900
0.5000 0.5000 0.7900
0.0000 0.0000 0.4003
0.5000 0.5000 0.9003
```

Version 2
ZnHO after structural relaxation. Source: Alexandria via LeMat-Bulk, functional GGA-PBE.

Computed properties:
Calculated volume, Å³/f.u.: 36.04

POSCAR file:
```
ZnHO
1.0
10.1221 0.0000 0.0000
0.0000 3.2937 0.0000
-1.8980 0.0000 4.3243
Zn H O
4 4 4
Direct
0.1061 0.0000 0.4498
0.3939 0.5000 0.5502
0.6061 0.5000 0.4498
0.8939 0.0000 0.5502
0.1401 0.5000 0.0306
0.3599 0.0000 0.9694
0.6401 0.0000 0.0306
0.8599 0.5000 0.9694
0.1732 0.5000 0.2558
0.3268 0.0000 0.7442
0.6732 0.0000 0.2558
0.8268 0.5000 0.7442
```

Version 3
ZnHO after structural relaxation. Source: Alexandria via LeMat-Bulk, functional GGA-PBE.

Computed properties:
Calculated volume, Å³/f.u.: 42.89

POSCAR file:
```
ZnHO
1.0
5.8208 0.0000 0.0000
0.0000 3.3622 0.0000
-1.3860 0.0000 8.7662
Zn H O
4 4 4
Direct
0.1978 0.0000 0.1306
0.3022 0.5000 0.8694
0.6978 0.5000 0.1306
0.8022 0.0000 0.8694
0.0248 0.0000 0.5418
0.4752 0.5000 0.4582
0.5248 0.5000 0.5418
0.9752 0.0000 0.4582
0.1339 0.0000 0.8617
0.3661 0.5000 0.1383
0.6339 0.5000 0.8617
0.8661 0.0000 0.1383
```

Which of them is least stable? Easy: version 1.

Version 1
Zr4HO after structural relaxation. Source: Alexandria via LeMat-Bulk, functional GGA-PBE.

Computed properties:
Calculated volume, Å³/f.u.: 100.09

POSCAR file:
```
Zr4HO
1.0
3.6991 -6.9647 0.0000
3.6991 6.9647 0.0000
-3.5013 0.0000 3.8849
Zr H O
8 2 2
Direct
0.0039 0.6221 0.8226
0.2303 0.3725 0.7916
0.3725 0.2303 0.2916
0.3779 0.9961 0.6774
0.6221 0.0039 0.3226
0.6275 0.7697 0.7084
0.7697 0.6275 0.2084
0.9961 0.3779 0.1774
0.0970 0.9030 0.2500
0.9030 0.0970 0.7500
0.3106 0.6894 0.7500
0.6894 0.3106 0.2500
```

Version 2
Zr4HO after structural relaxation. Source: Alexandria via LeMat-Bulk, functional GGA-PBE.

Computed properties:
Calculated volume, Å³/f.u.: 99.39

POSCAR file:
```
Zr4HO
1.0
-3.7585 3.7585 3.5178
3.7585 -3.7585 3.5178
3.7585 3.7585 -3.5178
Zr H O
8 2 2
Direct
0.2555 0.5436 0.7119
0.2659 0.0000 0.2659
0.2936 0.0817 0.7881
0.2936 0.5055 0.2119
0.7341 0.0000 0.7341
0.7500 0.5159 0.7659
0.7500 0.9841 0.2341
0.8317 0.5436 0.2881
0.1116 0.1116 0.0000
0.8616 0.3616 0.5000
0.2720 0.7720 0.5000
0.5220 0.5220 0.0000
```

Which of them is least stable? Easy: version 1.

Version 1
ZrH2O after structural relaxation. Source: Alexandria via LeMat-Bulk, functional GGA-PBE.

Computed properties:
Calculated volume, Å³/f.u.: 30.71

POSCAR file:
```
ZrH2O
1.0
4.9711 0.0000 0.0000
0.0000 4.9711 0.0000
0.0000 0.0000 4.9711
Zr H O
4 8 4
Direct
0.0000 0.0000 0.0000
0.0000 0.5000 0.5000
0.5000 0.0000 0.5000
0.5000 0.5000 0.0000
0.2500 0.2500 0.2500
0.2500 0.2500 0.7500
0.2500 0.7500 0.2500
0.2500 0.7500 0.7500
0.7500 0.2500 0.2500
0.7500 0.2500 0.7500
0.7500 0.7500 0.2500
0.7500 0.7500 0.7500
0.0000 0.0000 0.5000
0.0000 0.5000 0.0000
0.5000 0.0000 0.0000
0.5000 0.5000 0.5000
```

Version 2
ZrH2O after structural relaxation. Source: Alexandria via LeMat-Bulk, functional GGA-PBE.

Computed properties:
Calculated volume, Å³/f.u.: 37.45

POSCAR file:
```
ZrH2O
1.0
3.1621 0.0000 0.0000
0.0000 3.1621 0.0000
0.0000 0.0000 14.9833
Zr H O
4 8 4
Direct
0.0000 0.0000 0.0000
0.0000 0.5000 0.2500
0.5000 0.0000 0.7500
0.5000 0.5000 0.5000
0.0034 0.2500 0.1250
0.2500 0.5034 0.3750
0.2500 0.9966 0.8750
0.4966 0.2500 0.6250
0.5034 0.7500 0.6250
0.7500 0.0034 0.8750
0.7500 0.4966 0.3750
0.9966 0.7500 0.1250
0.0000 0.0000 0.5000
0.0000 0.5000 0.7500
0.5000 0.0000 0.2500
0.5000 0.5000 0.0000
```

Which of them is least stable? Easy: version 1.